1.
# Cs2NbBr6Cl

A relaxed structure of Cs2NbBr6Cl (PBE-GGA, the Alexandria database).

Unit cell a=8.322 b=8.322 c=8.325 alpha=60.01 beta=60.01 gamma=90.00
Element x y z (fractional)
Br1 0.218 0.782 0.000
Cl1 0.500 0.500 0.000
Cs1 0.250 0.750 0.500
Br2 0.782 0.218 0.000
Br3 0.782 0.782 0.435
Cs2 0.750 0.250 0.500
Br4 0.218 0.218 0.565
Br5 0.218 0.218 0.000
Br6 0.782 0.782 0.000
Nb1 0.000 0.000 0.000

ΔE to the lowest computed polymorph   69.8 kJ/mol of formula units
E_form (uncorrected)   -1157 meV/atom

2.
# Cs2NbBrCl6

A relaxed structure of Cs2NbBrCl6 (PBE-GGA, the Alexandria database).

Unit cell a=8.175 b=8.175 c=8.176 alpha=60.01 beta=60.01 gamma=90.00
Element x y z (fractional)
Nb1 0.000 0.000 0.000
Cl1 0.207 0.207 0.000
Br1 0.500 0.500 0.000
Cl2 0.793 0.793 0.000
Cl3 0.793 0.207 0.000
Cl4 0.207 0.207 0.586
Cs1 0.750 0.250 0.500
Cl5 0.207 0.793 0.000
Cs2 0.250 0.750 0.500
Cl6 0.793 0.793 0.414

ΔE to the lowest computed polymorph   86.3 kJ/mol of formula units
E_form (uncorrected)   -1418 meV/atom

3.
# Cs2NbBr6Cl

A relaxed structure of Cs2NbBr6Cl (PBE-GGA, the Alexandria database).

Unit cell a=9.398 b=9.394 c=7.643 alpha=51.79 beta=51.80 gamma=59.89
Element x y z (fractional)
Cs1 0.615 0.615 0.153
Br1 0.018 0.461 0.326
Nb1 0.316 0.316 0.052
Br2 0.460 0.195 0.326
Br3 0.194 0.018 0.329
Br4 0.438 0.614 0.774
Br5 0.614 0.171 0.777
Cl1 0.817 0.816 0.551
Br6 0.172 0.437 0.777
Cs2 0.016 0.017 0.949

ΔE to the lowest computed polymorph   0.0 kJ/mol of formula units
E_form (uncorrected)   -1230 meV/atom

4.
# Cs2NiBrCl6

A relaxed structure of Cs2NiBrCl6 (PBE-GGA, the Alexandria database).

Unit cell a=7.821 b=8.139 c=9.697 alpha=90.00 beta=90.00 gamma=90.00
Element x y z (fractional)
Ni1 0.000 0.758 0.000
Cl1 0.300 0.437 0.500
Br1 0.500 0.274 0.000
Br2 0.000 0.726 0.500
Cl2 0.000 0.785 0.251
Cl3 0.796 0.952 0.000
Cl4 0.700 0.437 0.500
Cl5 0.000 0.785 0.749
Cl6 0.204 0.952 0.000
Ni2 0.500 0.242 0.500
Cs1 0.500 0.754 0.748
Cl7 0.500 0.215 0.249
Cl8 0.704 0.048 0.500
Cl9 0.800 0.563 0.000
Cl10 0.296 0.048 0.500
Cs2 0.500 0.754 0.252
Cs3 0.000 0.246 0.248
Cl11 0.500 0.215 0.751
Cs4 0.000 0.246 0.752
Cl12 0.200 0.563 0.000

E_form (uncorrected)   -1019 meV/atom

5.
# Cs2NiBr4Cl2

A relaxed structure of Cs2NiBr4Cl2 (PBE-GGA, the Alexandria database).

Unit cell a=7.666 b=7.666 c=7.666 alpha=87.12 beta=121.68 gamma=121.68
Element x y z (fractional)
Cl1 0.000 0.202 0.202
Br1 0.000 0.770 0.230
Br2 0.460 0.230 0.230
Cs1 0.500 0.750 0.250
Cl2 0.000 0.798 0.798
Br3 0.000 0.230 0.770
Ni1 0.000 0.000 0.000
Cs2 0.500 0.250 0.750
Br4 0.540 0.770 0.770

E_form (uncorrected)   -1023 meV/atom

6.
# Cs2NiBr2Cl4

A relaxed structure of Cs2NiBr2Cl4 (PBE-GGA, the Alexandria database).

Unit cell a=7.409 b=7.409 c=7.409 alpha=93.47 beta=118.02 gamma=118.02
Element x y z (fractional)
Ni1 0.000 0.000 0.000
Cl1 0.000 0.208 0.792
Cs1 0.500 0.750 0.250
Cl2 0.000 0.792 0.208
Br1 0.000 0.760 0.760
Cs2 0.500 0.250 0.750
Cl3 0.583 0.792 0.792
Cl4 0.417 0.208 0.208
Br2 0.000 0.240 0.240

E_form (uncorrected)   -1097 meV/atom

7.
# Cs2NpBr6Cl

A relaxed structure of Cs2NpBr6Cl (PBE-GGA, the Alexandria database).

Unit cell a=9.477 b=9.480 c=7.731 alpha=52.07 beta=52.07 gamma=59.97
Element x y z (fractional)
Br1 0.470 0.189 0.336
Br2 0.188 0.005 0.338
Cs1 0.617 0.617 0.149
Cs2 0.015 0.016 0.954
Cl1 0.816 0.816 0.551
Br3 0.005 0.470 0.336
Np1 0.316 0.316 0.052
Br4 0.627 0.162 0.768
Br5 0.163 0.443 0.767
Br6 0.444 0.627 0.765

E_form (uncorrected)   -1387 meV/atom

8.
# Cs2NpBrCl6

A relaxed structure of Cs2NpBrCl6 (PBE-GGA, the Alexandria database).

Unit cell a=8.187 b=8.187 c=14.095 alpha=73.12 beta=73.12 gamma=60.00
Element x y z (fractional)
Br1 0.429 0.429 0.713
Cs1 0.261 0.261 0.218
Br2 0.571 0.571 0.287
Cs2 0.739 0.739 0.782
Np1 0.000 0.000 0.000
Cl1 0.253 0.817 0.112
Np2 0.500 0.500 0.500
Cs3 0.876 0.876 0.371
Cl2 0.656 0.656 0.572
Cl3 0.344 0.344 0.428
Cl4 0.885 0.344 0.428
Cl5 0.656 0.115 0.572
Cs4 0.124 0.124 0.629
Cl6 0.344 0.885 0.428
Cl7 0.817 0.253 0.112
Cl8 0.817 0.817 0.112
Cl9 0.747 0.183 0.888
Cl10 0.183 0.183 0.888
Cl11 0.115 0.656 0.572
Cl12 0.183 0.747 0.888

E_form (uncorrected)   -1584 meV/atom

9.
# Cs6BrClO2

A relaxed structure of Cs6BrClO2 (PBE-GGA, the Alexandria database).

Unit cell a=8.286 b=8.286 c=8.221 alpha=59.70 beta=59.70 gamma=60.02
Element x y z (fractional)
Cs1 0.684 0.258 0.219
Cs2 0.751 0.200 0.725
Cs3 0.258 0.838 0.219
Cs4 0.200 0.324 0.725
O1 0.025 0.025 0.925
Br1 0.772 0.772 0.685
O2 0.526 0.526 0.421
Cs5 0.839 0.684 0.219
Cs6 0.323 0.751 0.725
Cl1 0.283 0.283 0.152

E_form (uncorrected)   -1296 meV/atom

10.
# Cs4BrClO

A relaxed structure of Cs4BrClO (PBE-GGA, the Alexandria database).

Unit cell a=8.460 b=7.978 c=10.038 alpha=90.00 beta=108.70 gamma=90.00
Element x y z (fractional)
Br1 0.215 0.250 0.561
O1 0.246 0.750 0.300
Cs1 0.024 0.994 0.238
Cs2 0.577 0.250 0.427
Cs3 0.024 0.506 0.238
Cs4 0.574 0.250 0.873
Cl1 0.252 0.250 0.057
Cs5 0.976 0.006 0.762
Cs6 0.423 0.750 0.573
Cs7 0.976 0.494 0.762
O2 0.754 0.250 0.700
Cl2 0.748 0.750 0.943
Cs8 0.426 0.750 0.127
Br2 0.785 0.750 0.439

E_form (uncorrected)   -1465 meV/atom

11.
# Cs5Br2ClO

A relaxed structure of Cs5Br2ClO (PBE-GGA, the Alexandria database).

Unit cell a=5.719 b=8.204 c=10.100 alpha=113.96 beta=106.45 gamma=90.00
Element x y z (fractional)
Cs1 0.000 0.000 0.000
Cs2 0.619 0.363 0.237
Cs3 0.381 0.126 0.763
Cl1 0.000 0.500 0.000
O1 0.500 0.000 0.000
Br1 0.204 0.204 0.409
Cs4 0.381 0.637 0.763
Br2 0.796 0.796 0.591
Cs5 0.619 0.874 0.237

E_form (uncorrected)   -1520 meV/atom

12.
# Cs6Br2ClO

A relaxed structure of Cs6Br2ClO (PBE-GGA, the Alexandria database).

Unit cell a=8.592 b=8.576 c=8.576 alpha=120.00 beta=90.00 gamma=90.00
Element x y z (fractional)
Cs1 0.797 0.157 0.314
Cs2 0.203 0.843 0.686
Cs3 0.797 0.686 0.843
Br1 0.904 0.667 0.333
Cl1 0.500 0.000 0.000
Br2 0.096 0.333 0.667
Cs4 0.797 0.157 0.843
Cs5 0.203 0.843 0.157
Cs6 0.203 0.314 0.157
O1 0.000 0.000 0.000

E_form (uncorrected)   -1343 meV/atom

13.
# Cs6Br2Cl3O

A relaxed structure of Cs6Br2Cl3O (PBE-GGA, the Alexandria database).

Unit cell a=8.628 b=8.628 c=8.665 alpha=99.57 beta=99.57 gamma=119.30
Element x y z (fractional)
Cs1 0.603 0.913 0.747
Br1 0.332 0.668 0.000
Cl1 0.500 0.500 0.500
Br2 0.668 0.332 0.000
O1 0.000 0.000 0.000
Cs2 0.087 0.397 0.253
Cl2 0.171 0.829 0.500
Cs3 0.223 0.223 0.760
Cs4 0.913 0.603 0.747
Cl3 0.829 0.171 0.500
Cs5 0.777 0.777 0.240
Cs6 0.397 0.087 0.253

E_form (uncorrected)   -1658 meV/atom

14.
# Cs8Br3ClO2

A relaxed structure of Cs8Br3ClO2 (PBE-GGA, the Alexandria database).

Unit cell a=8.755 b=8.755 c=10.649 alpha=90.00 beta=90.00 gamma=120.00
Element x y z (fractional)
Br1 0.000 0.000 0.000
Cs1 0.176 0.352 0.298
Cs2 0.352 0.176 0.702
Br2 0.667 0.333 0.411
Cs3 0.824 0.176 0.702
Br3 0.333 0.667 0.589
Cs4 0.176 0.824 0.298
Cs5 0.648 0.824 0.298
Cs6 0.333 0.667 0.936
Cs7 0.667 0.333 0.064
O1 0.333 0.667 0.176
Cl1 0.000 0.000 0.500
O2 0.667 0.333 0.824
Cs8 0.824 0.648 0.702

E_form (uncorrected)   -1397 meV/atom

15.
# Cs2OsBr6Cl

A relaxed structure of Cs2OsBr6Cl (PBE-GGA, the Alexandria database).

Unit cell a=8.092 b=8.092 c=8.117 alpha=60.10 beta=60.10 gamma=90.00
Element x y z (fractional)
Cl1 0.500 0.500 0.000
Br1 0.782 0.782 0.435
Br2 0.218 0.218 0.565
Br3 0.781 0.219 0.000
Cs1 0.250 0.750 0.500
Br4 0.781 0.781 0.000
Br5 0.219 0.781 0.000
Cs2 0.750 0.250 0.500
Os1 0.000 0.000 0.000
Br6 0.219 0.219 0.000

E_form (uncorrected)   -783 meV/atom

16.
# Cs2OsBr6Cl

A relaxed structure of Cs2OsBr6Cl (PBE-GGA, the Alexandria database).

Unit cell a=7.640 b=9.014 c=10.970 alpha=90.00 beta=90.00 gamma=90.00
Element x y z (fractional)
Os1 0.500 0.229 0.500
Br1 0.000 0.789 0.227
Cs1 0.000 0.234 0.763
Br2 0.500 0.211 0.727
Cs2 0.500 0.766 0.263
Br3 0.765 0.970 0.000
Os2 0.000 0.771 0.000
Cl1 0.000 0.716 0.500
Br4 0.735 0.030 0.500
Br5 0.228 0.575 0.000
Br6 0.000 0.789 0.773
Cs3 0.500 0.766 0.737
Br7 0.235 0.970 0.000
Cl2 0.500 0.284 0.000
Cs4 0.000 0.234 0.237
Br8 0.772 0.575 0.000
Br9 0.728 0.425 0.500
Br10 0.265 0.030 0.500
Br11 0.500 0.211 0.273
Br12 0.272 0.425 0.500

E_form (uncorrected)   -785 meV/atom

17.
# Cs2OsBr4Cl2

A relaxed structure of Cs2OsBr4Cl2 (PBE-GGA, the Alexandria database).

Unit cell a=6.709 b=7.595 c=7.595 alpha=58.95 beta=97.55 gamma=97.55
Element x y z (fractional)
Br1 0.725 0.330 0.853
Br2 0.275 0.670 0.147
Cs1 0.728 0.345 0.345
Cl1 0.691 0.866 0.866
Br3 0.275 0.147 0.670
Cl2 0.309 0.134 0.134
Cs2 0.272 0.655 0.655
Os1 0.500 0.000 0.000
Br4 0.725 0.853 0.330

E_form (uncorrected)   -993 meV/atom

18.
# Cs3OsBr2Cl6

A relaxed structure of Cs3OsBr2Cl6 (PBE-GGA, the Alexandria database).

Unit cell a=5.708 b=9.380 c=10.084 alpha=117.72 beta=90.45 gamma=90.00
Element x y z (fractional)
Br1 0.988 0.303 0.605
Cs1 0.500 0.500 0.500
Cl1 0.278 0.118 0.882
Cl2 0.722 0.235 0.118
Cl3 0.748 0.898 0.796
Cs2 0.500 0.000 0.500
Cl4 0.278 0.765 0.882
Os1 0.500 0.000 0.000
Cs3 0.000 0.500 0.000
Cl5 0.252 0.102 0.204
Cl6 0.722 0.882 0.118
Br2 0.012 0.697 0.395

E_form (uncorrected)   -1141 meV/atom

19.
# Cs2OsBrCl5

A relaxed structure of Cs2OsBrCl5 (PBE-GGA, the Alexandria database).

Unit cell a=7.499 b=7.499 c=7.499 alpha=90.86 beta=119.50 gamma=119.50
Element x y z (fractional)
Cs1 0.500 0.252 0.752
Br1 0.000 0.763 0.763
Cl1 0.559 0.781 0.781
Cl2 0.000 0.781 0.222
Cl3 0.000 0.226 0.226
Cl4 0.441 0.222 0.222
Os1 0.000 0.001 0.001
Cs2 0.500 0.752 0.252
Cl5 0.000 0.222 0.781

E_form (uncorrected)   -1162 meV/atom

20.
# Cs2PBr4Cl2

A relaxed structure of Cs2PBr4Cl2 (PBE-GGA, the Alexandria database).

Unit cell a=7.709 b=7.709 c=7.709 alpha=87.45 beta=121.48 gamma=121.48
Element x y z (fractional)
Cl1 0.000 0.208 0.208
P1 0.000 0.000 0.000
Cs1 0.500 0.250 0.750
Cl2 0.000 0.792 0.792
Br1 0.532 0.766 0.766
Br2 0.000 0.234 0.766
Cs2 0.500 0.750 0.250
Br3 0.000 0.766 0.234
Br4 0.468 0.234 0.234

E_form (uncorrected)   -1038 meV/atom